No. 1
Entry from Alexandria: crystalline PaTl4Cl10 at its relaxed geometry (GGA-PBE).

Cell: 7.262 8.783 8.783 Å, 80.16 65.58 65.58°
Fractional positions:
Pa (0.000, 0.000, 0.000)
Cl (0.044, 0.076, 0.269)
Cl (0.687, 0.269, 0.924)
Cl (0.120, 0.269, 0.924)
Cl (0.880, 0.731, 0.076)
Tl (0.592, 0.213, 0.602)
Tl (0.195, 0.398, 0.213)
Cl (0.389, 0.924, 0.731)
Tl (0.805, 0.602, 0.787)
Cl (0.250, 0.500, 0.500)
Tl (0.408, 0.787, 0.398)
Cl (0.313, 0.731, 0.076)
Cl (0.611, 0.076, 0.269)
Cl (0.956, 0.924, 0.731)
Cl (0.750, 0.500, 0.500)

## Properties
The volume comes out at 464.48 Å³/cell. The total energy is -55.85 eV per cell. The value obtained for the density of states at the Fermi level is 0.61 states/eV/atom.

***

No. 2
Entry from Alexandria: crystalline PaTl3Cl6 at its relaxed geometry (GGA-PBE).

Cell: 7.281 7.281 8.593 Å, 107.84 107.84 106.07°
Site moments in Bohr magnetons follow the coordinates.
Fractional positions:
Cl (0.916, 0.916, 0.261)  -0.01
Cl (0.345, 0.345, 0.261)  -0.01
Cl (0.655, 0.655, 0.739)  -0.01
Cl (0.227, 0.773, 0.000)  -0.02
Cl (0.773, 0.227, 0.000)  -0.02
Tl (0.250, 0.750, 0.500)  -0.03
Cl (0.084, 0.084, 0.739)  -0.01
Pa (0.000, 0.000, 0.000)  1.20
Tl (0.750, 0.250, 0.500)  -0.03
Tl (0.500, 0.500, 0.000)  0.00

## Properties
The volume comes out at 376.69 Å³/cell. The total energy is -40.58 eV per cell. The value obtained for the density of states at the Fermi level is 0.41 states/eV/atom.

***

No. 3
Entry from Alexandria: crystalline PaTlCl at its relaxed geometry (GGA-PBE).

Cell: 7.500 7.500 3.377 Å, 76.92 76.92 65.28°
Fractional positions:
Cl (0.175, 0.175, 0.602)
Tl (0.382, 0.758, 0.206)
Tl (0.758, 0.382, 0.206)
Pa (0.173, 0.496, 0.942)
Pa (0.496, 0.173, 0.942)
Cl (0.865, 0.865, 0.912)

## Properties
The volume comes out at 166.22 Å³/cell. The total energy is -29.09 eV per cell. The value obtained for the density of states at the Fermi level is 1.15 states/eV/atom.

***

No. 4
Entry from Alexandria: crystalline PaTl3Cl6 at its relaxed geometry (GGA-PBE).

Cell: 7.685 8.150 11.670 Å, 90.99 90.00 90.00°
Site moments in Bohr magnetons follow the coordinates.
Fractional positions:
Cl (0.440, 0.381, 0.709)  -0.01
Tl (0.166, 0.495, 0.209)  0.07
Tl (0.334, 0.995, 0.709)  0.07
Tl (0.666, 0.005, 0.291)  0.07
Cl (0.152, 0.736, 0.901)  -0.01
Cl (0.196, 0.651, 0.505)  -0.01
Tl (0.000, 0.000, 0.500)  0.11
Pa (0.500, 0.500, 0.500)  1.20
Cl (0.560, 0.619, 0.291)  -0.01
Cl (0.940, 0.119, 0.791)  -0.01
Cl (0.304, 0.151, 0.005)  -0.01
Cl (0.348, 0.236, 0.401)  -0.01
Cl (0.804, 0.349, 0.495)  -0.01
Cl (0.652, 0.764, 0.599)  -0.01
Cl (0.696, 0.849, 0.995)  -0.01
Tl (0.834, 0.505, 0.791)  0.07
Cl (0.060, 0.881, 0.209)  -0.01
Cl (0.848, 0.264, 0.099)  -0.01
Tl (0.500, 0.500, 0.000)  0.11
Pa (0.000, 0.000, 0.000)  1.20

## Properties
The volume comes out at 730.86 Å³/cell. The total energy is -81.36 eV per cell. The value obtained for the density of states at the Fermi level is 0.14 states/eV/atom.

***

No. 5
Entry from Alexandria: crystalline Tm2PaCl at its relaxed geometry (GGA-PBE).

Cell: 3.256 3.256 11.123 Å, 81.58 81.58 60.00°
Fractional positions:
Cl (0.500, 0.500, 0.500)
Tm (0.902, 0.902, 0.295)
Tm (0.098, 0.098, 0.705)
Pa (0.000, 0.000, 0.000)

## Properties
The volume comes out at 100.68 Å³/cell. The total energy is -21.37 eV per cell. The value obtained for the density of states at the Fermi level is 1.03 states/eV/atom.

***

No. 6
Entry from Alexandria: crystalline TmPaCl at its relaxed geometry (GGA-PBE).

Cell: 5.177 6.827 8.420 Å, 83.21 90.00 90.00°
Fractional positions:
Pa (0.750, 0.426, 0.959)
Pa (0.250, 0.074, 0.041)
Tm (0.750, 0.671, 0.300)
Pa (0.750, 0.926, 0.959)
Cl (0.250, 0.623, 0.419)
Tm (0.250, 0.829, 0.700)
Cl (0.750, 0.377, 0.581)
Tm (0.250, 0.329, 0.700)
Cl (0.750, 0.877, 0.581)
Tm (0.750, 0.171, 0.300)
Cl (0.250, 0.123, 0.419)
Pa (0.250, 0.574, 0.041)

## Properties
The volume comes out at 295.49 Å³/cell. The total energy is -72.14 eV per cell. The value obtained for the density of states at the Fermi level is 1.26 states/eV/atom.

***

No. 7
Entry from Alexandria: crystalline UPaCl6 at its relaxed geometry (GGA-PBE).

Cell: 6.517 6.517 7.742 Å, 65.11 65.11 60.00°
Site moments in Bohr magnetons follow the coordinates.
Fractional positions:
Cl (0.568, 0.085, 0.262)  -0.02
Cl (0.085, 0.085, 0.262)  -0.02
Cl (0.085, 0.568, 0.262)  -0.02
Cl (0.915, 0.432, 0.738)  -0.02
Pa (0.500, 0.500, 0.500)  2.36
U (0.000, 0.000, 0.000)  2.31
Cl (0.915, 0.915, 0.738)  -0.02
Cl (0.432, 0.915, 0.738)  -0.02

## Properties
The volume comes out at 248.88 Å³/cell. The total energy is -40.30 eV per cell. The value obtained for the density of states at the Fermi level is 2.77 states/eV/atom.

***

No. 8
Entry from Alexandria: crystalline UPaCl2 at its relaxed geometry (GGA-PBE).

Cell: 3.309 3.309 10.142 Å, 80.61 80.61 60.00°
Site moments in Bohr magnetons follow the coordinates.
Fractional positions:
Pa (0.500, 0.500, 0.500)  -0.52
Cl (0.097, 0.097, 0.710)  0.00
Cl (0.903, 0.903, 0.290)  0.00
U (0.000, 0.000, 0.000)  3.05

## Properties
The volume comes out at 94.47 Å³/cell. The total energy is -27.34 eV per cell. The value obtained for the density of states at the Fermi level is 1.72 states/eV/atom.

***

No. 9
Entry from Alexandria: crystalline YPaCl6 at its relaxed geometry (GGA-PBE).

Cell: 7.159 7.159 6.729 Å, 98.10 98.10 123.94°
Site moments in Bohr magnetons follow the coordinates.
Fractional positions:
Cl (0.901, 0.610, 0.754)  -0.01
Cl (0.390, 0.099, 0.246)  -0.01
Pa (0.500, 0.500, 0.500)  1.62
Y (0.000, 0.000, 0.000)  0.18
Cl (0.099, 0.390, 0.246)  -0.01
Cl (0.248, 0.248, 0.752)  -0.01
Cl (0.610, 0.901, 0.754)  -0.01
Cl (0.752, 0.752, 0.248)  -0.01

## Properties
The volume comes out at 272.91 Å³/cell. The total energy is -42.59 eV per cell. The value obtained for the density of states at the Fermi level is 0.50 states/eV/atom.

***

No. 10
Entry from Alexandria: crystalline Pb2Cl at its relaxed geometry (GGA-PBE).

Cell: 6.466 6.466 6.466 Å, 60.00 60.00 60.00°
Fractional positions:
Cl (0.750, 0.750, 0.750)
Pb (0.125, 0.625, 0.125)
Cl (0.500, 0.500, 0.500)
Pb (0.125, 0.125, 0.625)
Pb (0.125, 0.125, 0.125)
Pb (0.625, 0.125, 0.125)

## Properties
The volume comes out at 191.20 Å³/cell. The total energy is -18.82 eV per cell. The value obtained for the density of states at the Fermi level is 0.99 states/eV/atom.

***

No. 11
Entry from Alexandria: crystalline PbCl3 at its relaxed geometry (GGA-PBE).

Cell: 4.423 10.087 5.320 Å, 90.00 90.00 90.00°
Fractional positions:
Cl (0.000, 0.827, 0.753)
Cl (0.000, 0.466, 0.500)
Cl (0.000, 0.827, 0.247)
Cl (0.500, 0.173, 0.253)
Cl (0.500, 0.534, 0.000)
Pb (0.000, 0.330, 0.000)
Pb (0.500, 0.670, 0.500)
Cl (0.500, 0.173, 0.747)

## Properties
The volume comes out at 237.37 Å³/cell. The total energy is -24.86 eV per cell. The value obtained for the density of states at the Fermi level is 0.37 states/eV/atom.

***

No. 12
Entry from Alexandria: crystalline Pb2Cl at its relaxed geometry (GGA-PBE).

Cell: 3.564 5.512 9.624 Å, 90.00 90.00 90.00°
Fractional positions:
Pb (0.000, 0.871, 0.296)
Pb (0.000, 0.129, 0.704)
Cl (0.500, 0.500, 0.500)
Pb (0.500, 0.629, 0.796)
Pb (0.500, 0.371, 0.204)
Cl (0.000, 0.000, 0.000)

## Properties
The volume comes out at 189.04 Å³/cell. The total energy is -20.56 eV per cell. The value obtained for the density of states at the Fermi level is 0.35 states/eV/atom.